Record 1
Computed, not measured: an optimized crystal structure of Zr5Fe24 at the GGA-PBE level of DFT.

Unit cell a=7.925 b=7.925 c=7.925 alpha=109.47 beta=109.47 gamma=109.47
Last column: magnetic moment on the atom in μB.
Positions (direct):
Fe (0.193, 0.379, 0.000)  2.03
Fe (0.379, 0.193, 0.000)  2.03
Fe (0.807, 0.807, 0.186)  2.03
Fe (0.621, 0.621, 0.814)  2.03
Fe (0.807, 0.186, 0.807)  2.03
Fe (0.621, 0.814, 0.621)  2.03
Fe (0.379, 0.000, 0.193)  2.03
Fe (0.193, 0.000, 0.379)  2.03
Fe (0.000, 0.379, 0.193)  2.03
Fe (0.000, 0.193, 0.379)  2.03
Fe (0.814, 0.621, 0.621)  2.03
Fe (0.186, 0.807, 0.807)  2.03
Fe (0.668, 0.394, 0.000)  2.33
Fe (0.394, 0.668, 0.000)  2.33
Fe (0.332, 0.332, 0.726)  2.33
Fe (0.606, 0.606, 0.274)  2.33
Fe (0.332, 0.726, 0.332)  2.33
Fe (0.606, 0.274, 0.606)  2.33
Fe (0.394, 0.000, 0.668)  2.33
Fe (0.668, 0.000, 0.394)  2.33
Fe (0.000, 0.394, 0.668)  2.33
Fe (0.000, 0.668, 0.394)  2.33
Fe (0.274, 0.606, 0.606)  2.33
Fe (0.726, 0.332, 0.332)  2.33
Zr (0.000, 0.617, 0.000)  -0.49
Zr (0.617, 0.000, 0.000)  -0.49
Zr (0.000, 0.000, 0.617)  -0.49
Zr (0.383, 0.383, 0.383)  -0.49
Zr (0.000, 0.000, 0.000)  -0.50

- DFT formation energy: -0.05 eV/atom
- DFT total energy: -8.527 eV/atom
- SG: I-43m (217)
- Total magnetization: 48.5 μB/cell


Record 2
Computed, not measured: an optimized crystal structure of AsPIO2 at the GGA-PBE level of DFT.

Unit cell a=3.788 b=3.788 c=7.550 alpha=90.00 beta=90.00 gamma=90.00
Positions (direct):
I (0.000, 0.000, 0.500)
P (0.500, 0.500, 0.500)
As (0.000, 0.000, 0.000)
O (0.000, 0.500, 0.000)
O (0.500, 0.000, 0.000)

- Raw formation energy: 0.121 eV per atom
- Energy above the most stable polymorph in this dataset: 0.95 eV/f.u.
- DFT total energy: -4.184 eV/atom
- SG: P4/mmm (123)
- Total magnetization: 0.0 μB/cell


Record 3
Computed, not measured: an optimized crystal structure of Zn5Ag3Br12 at the GGA-PBE level of DFT.

Unit cell a=14.263 b=14.263 c=14.263 alpha=109.47 beta=109.47 gamma=109.47
Positions (direct):
Ag (0.750, 0.375, 0.125)
Ag (0.875, 0.750, 0.125)
Ag (0.375, 0.750, 0.625)
Ag (0.250, 0.125, 0.375)
Ag (0.875, 0.125, 0.250)
Ag (0.375, 0.625, 0.250)
Ag (0.625, 0.375, 0.750)
Ag (0.125, 0.875, 0.750)
Ag (0.750, 0.875, 0.625)
Ag (0.625, 0.250, 0.375)
Ag (0.125, 0.250, 0.875)
Ag (0.250, 0.625, 0.875)
Zn (0.125, 0.375, 0.250)
Zn (0.000, 0.500, 0.000)
Zn (0.000, 0.000, 0.000)
Zn (0.375, 0.250, 0.125)
Zn (0.500, 0.000, 0.500)
Zn (0.500, 0.500, 0.000)
Zn (0.125, 0.750, 0.375)
Zn (0.750, 0.125, 0.875)
Zn (0.750, 0.625, 0.375)
Zn (0.375, 0.125, 0.750)
Zn (0.625, 0.875, 0.250)
Zn (0.500, 0.500, 0.500)
Zn (0.500, 0.000, 0.000)
Zn (0.000, 0.000, 0.500)
Zn (0.250, 0.375, 0.625)
Zn (0.250, 0.875, 0.125)
Zn (0.000, 0.500, 0.500)
Zn (0.875, 0.250, 0.625)
Zn (0.625, 0.750, 0.875)
Zn (0.875, 0.625, 0.750)
Br (0.709, 0.124, 0.029)
Br (0.320, 0.529, 0.405)
Br (0.971, 0.376, 0.291)
Br (0.529, 0.209, 0.124)
Br (0.585, 0.709, 0.680)
Br (0.971, 0.595, 0.180)
Br (0.320, 0.791, 0.415)
Br (0.095, 0.915, 0.124)
Br (0.595, 0.971, 0.680)
Br (0.709, 0.585, 0.180)
Br (0.791, 0.471, 0.376)
Br (0.820, 0.905, 0.029)
Br (0.124, 0.709, 0.529)
Br (0.376, 0.405, 0.085)
Br (0.085, 0.905, 0.376)
Br (0.415, 0.124, 0.595)
Br (0.085, 0.180, 0.209)
Br (0.471, 0.680, 0.095)
Br (0.820, 0.915, 0.291)
Br (0.124, 0.415, 0.095)
Br (0.376, 0.971, 0.791)
Br (0.595, 0.624, 0.415)
Br (0.905, 0.820, 0.529)
Br (0.791, 0.320, 0.915)
Br (0.405, 0.376, 0.585)
Br (0.095, 0.180, 0.471)
Br (0.209, 0.680, 0.085)
Br (0.180, 0.085, 0.709)
Br (0.624, 0.029, 0.209)
Br (0.876, 0.585, 0.905)
Br (0.529, 0.320, 0.905)
Br (0.585, 0.876, 0.405)
Br (0.915, 0.820, 0.791)
Br (0.915, 0.095, 0.624)
Br (0.876, 0.291, 0.471)
Br (0.180, 0.095, 0.971)
Br (0.624, 0.595, 0.915)
Br (0.405, 0.029, 0.320)
Br (0.291, 0.415, 0.820)
Br (0.209, 0.529, 0.624)
Br (0.905, 0.085, 0.876)
Br (0.680, 0.209, 0.585)
Br (0.471, 0.791, 0.876)
Br (0.029, 0.405, 0.820)
Br (0.415, 0.291, 0.320)
Br (0.029, 0.624, 0.709)
Br (0.680, 0.471, 0.595)
Br (0.291, 0.876, 0.971)

- Raw formation energy: -0.540 eV per atom
- DFT total energy: -2.290 eV/atom
- SG: Ia-3d (230)
- Total magnetization: 0.0 μB/cell


Record 4
Computed, not measured: an optimized crystal structure of CaZrFe2 at the GGA-PBE level of DFT.

Unit cell a=6.067 b=6.067 c=4.321 alpha=69.13 beta=69.13 gamma=32.18
Last column: magnetic moment on the atom in μB.
Positions (direct):
Ca (0.720, 0.720, 0.780)  -0.04
Fe (0.963, 0.963, 0.037)  1.80
Fe (0.321, 0.321, 0.179)  2.31
Zr (0.496, 0.496, 0.504)  -0.47

- DFT formation energy: 0.27 eV/atom
- DFT total energy: -6.602 eV/atom
- SG: Imm2 (44)
- Total magnetization: 3.4 μB/cell


Record 5
Computed, not measured: an optimized crystal structure of Li2Er5Hg12 at the GGA-PBE level of DFT.

Unit cell a=8.712 b=8.374 c=7.245 alpha=88.75 beta=90.00 gamma=121.34
Positions (direct):
Li (0.745, 0.000, 0.000)
Li (0.255, 0.000, 0.000)
Er (0.254, 0.508, 0.568)
Er (0.309, 0.619, 0.053)
Er (0.000, 0.000, 0.500)
Er (0.691, 0.381, 0.947)
Er (0.746, 0.492, 0.432)
Hg (0.102, 0.203, 0.911)
Hg (0.049, 0.682, 0.760)
Hg (0.633, 0.682, 0.760)
Hg (0.157, 0.766, 0.346)
Hg (0.609, 0.766, 0.346)
Hg (0.468, 0.935, 0.762)
Hg (0.532, 0.065, 0.238)
Hg (0.843, 0.234, 0.654)
Hg (0.391, 0.234, 0.654)
Hg (0.951, 0.318, 0.240)
Hg (0.367, 0.318, 0.240)
Hg (0.898, 0.797, 0.089)

- DFT formation energy: -0.31 eV/atom
- DFT total energy: -1.905 eV/atom
- SG: C2/m (12)
- Total magnetization: 0.0 μB/cell


Record 6
Computed, not measured: an optimized crystal structure of RbCd2TcPb at the GGA-PBE level of DFT.

Unit cell a=6.005 b=6.593 c=6.005 alpha=90.00 beta=90.00 gamma=90.00
Last column: magnetic moment on the atom in μB.
Positions (direct):
Pb (0.000, 0.500, 0.000)  -0.41
Tc (0.500, 0.500, 0.500)  3.78
Rb (0.000, 0.000, 0.000)  -0.05
Cd (0.000, 0.000, 0.500)  -0.02
Cd (0.500, 0.000, 0.000)  -0.01

- DFT formation energy: 1.79 eV/atom
- DFT total energy: -1.584 eV/atom
- SG: P4/mmm (123)
- Total magnetization: 3.1 μB/cell


Record 7
Computed, not measured: an optimized crystal structure of Rb2HgTeS at the GGA-PBE level of DFT.

Unit cell a=6.500 b=6.500 c=4.967 alpha=90.00 beta=90.00 gamma=90.00
Last column: magnetic moment on the atom in μB.
Positions (direct):
S (0.000, 0.000, 0.000)  0.01
Te (0.500, 0.500, 0.500)  0.30
Hg (0.000, 0.000, 0.500)  0.02
Rb (0.000, 0.500, 0.000)  0.00
Rb (0.500, 0.000, 0.000)  0.00

- Raw formation energy: -0.564 eV per atom
- Energy above the most stable polymorph in this dataset: 1.17 eV/f.u.
- DFT total energy: -2.465 eV/atom
- SG: P4/mmm (123)
- Total magnetization: 0.7 μB/cell


Record 8
Computed, not measured: an optimized crystal structure of Er3MgCd at the GGA-PBE level of DFT.

Unit cell a=5.134 b=5.134 c=10.608 alpha=90.00 beta=76.00 gamma=90.00
Positions (direct):
Er (0.764, 0.250, 0.120)
Er (0.381, 0.250, 0.886)
Er (0.574, 0.250, 0.501)
Er (0.267, 0.750, 0.114)
Er (0.884, 0.750, 0.880)
Er (0.075, 0.750, 0.499)
Mg (0.478, 0.750, 0.692)
Mg (0.170, 0.250, 0.308)
Cd (0.667, 0.750, 0.315)
Cd (0.982, 0.250, 0.685)

- DFT formation energy: -0.14 eV/atom
- Energy above the most stable polymorph in this dataset: 0.00 eV/f.u.
- DFT total energy: -3.380 eV/atom
- SG: Cmcm (63)
- Total magnetization: 0.0 μB/cell


Record 9
Computed, not measured: an optimized crystal structure of PaGaFeRu at the GGA-PBE level of DFT.

Unit cell a=4.533 b=4.533 c=4.533 alpha=60.00 beta=60.00 gamma=60.00
Positions (direct):
Ru (0.750, 0.750, 0.750)
Pa (0.500, 0.500, 0.500)
Fe (0.250, 0.250, 0.250)
Ga (0.000, 0.000, 0.000)

- DFT formation energy: -0.31 eV/atom
- DFT total energy: -7.880 eV/atom
- SG: F-43m (216)
- Total magnetization: 0.0 μB/cell


Record 10
Computed, not measured: an optimized crystal structure of CoSe2 at the GGA-PBE level of DFT.

Unit cell a=13.056 b=13.056 c=13.056 alpha=167.11 beta=167.11 gamma=18.26
Positions (direct):
Co (0.750, 0.250, 0.500)
Co (0.000, 0.000, 0.000)
Se (0.191, 0.691, 0.500)
Se (0.559, 0.559, 0.000)
Se (0.309, 0.809, 0.500)
Se (0.441, 0.441, 0.000)

- Raw formation energy: 0.137 eV per atom
- DFT total energy: -4.555 eV/atom
- SG: I4_1/amd (141)
- Total magnetization: 0.0 μB/cell


Record 11
Computed, not measured: an optimized crystal structure of BaPrCu at the GGA-PBE level of DFT.

Unit cell a=5.022 b=8.311 c=11.506 alpha=95.22 beta=102.61 gamma=90.00
Positions (direct):
Ba (0.073, 0.322, 0.146)
Ba (0.402, 0.167, 0.804)
Ba (0.598, 0.833, 0.196)
Ba (0.927, 0.678, 0.854)
Pr (0.218, 0.632, 0.436)
Pr (0.785, 0.901, 0.569)
Pr (0.782, 0.368, 0.564)
Pr (0.215, 0.099, 0.431)
Cu (0.337, 0.510, 0.673)
Cu (0.661, 0.198, 0.322)
Cu (0.663, 0.490, 0.327)
Cu (0.339, 0.802, 0.678)

- DFT formation energy: 0.05 eV/atom
- Energy above the most stable polymorph in this dataset: 0.03 eV/f.u.
- DFT total energy: -3.549 eV/atom
- SG: C2/m (12)
- Total magnetization: 0.3 μB/cell


Record 12
Computed, not measured: an optimized crystal structure of NaIn6Au12 at the GGA-PBE level of DFT.

Unit cell a=7.812 b=7.812 c=7.812 alpha=105.01 beta=105.01 gamma=105.01
Positions (direct):
Na (0.000, 0.000, 0.000)
In (0.699, 0.292, 0.292)
In (0.292, 0.292, 0.699)
In (0.292, 0.699, 0.292)
In (0.708, 0.708, 0.301)
In (0.301, 0.708, 0.708)
In (0.708, 0.301, 0.708)
Au (0.888, 0.112, 0.500)
Au (0.884, 0.645, 0.645)
Au (0.645, 0.645, 0.884)
Au (0.355, 0.116, 0.355)
Au (0.355, 0.355, 0.116)
Au (0.116, 0.355, 0.355)
Au (0.112, 0.500, 0.888)
Au (0.500, 0.888, 0.112)
Au (0.112, 0.888, 0.500)
Au (0.888, 0.500, 0.112)
Au (0.500, 0.112, 0.888)
Au (0.645, 0.884, 0.645)

- DFT formation energy: -0.12 eV/atom
- Energy above the most stable polymorph in this dataset: 0.26 eV/f.u.
- DFT total energy: -3.129 eV/atom
- SG: R-3m (166)
- Total magnetization: 0.0 μB/cell


Which value of DFT total energy does entry 2 give?
-4.184 eV/atom


Look up the DFT total energy of the fourth one.
-6.602 eV/atom